Entry 1:
First-principles (meta-GGA SCAN) data for B2SO at its PBEsol-relaxed geometry, as listed in Alexandria.

a b c (Å): 5.090 5.090 5.090
angles (deg): 90.00 90.00 90.00
Space group Fm-3m (No. 225)
Unique sites:
B1 0.250 0.250 0.250 x8
S1 0.000 0.000 0.000 x4
O1 0.000 0.000 0.500 x4

**Energy relative to the elements, uncorrected**: 1608 meV per atom
**Raw total energy**: -24.29 eV/f.u.



Entry 2:
First-principles (meta-GGA SCAN) data for BS2O at its PBEsol-relaxed geometry, as listed in Alexandria.

a b c (Å): 3.6804 3.6804 17.1155
angles (deg): 90.00 90.00 120.00
Space group R-3m (No. 166, hexagonal axes)
Unique sites:
B1 0.0000 0.0000 0.0000 x3
S1 0.0000 0.0000 0.0978 x6
O1 0.0000 0.0000 0.5000 x3

**Energy relative to the elements, uncorrected**: 740 meV per atom
**Raw total energy**: -29.96 eV/f.u.



Entry 3:
First-principles (meta-GGA SCAN) data for BSO2 at its PBEsol-relaxed geometry, as listed in Alexandria.

a b c (Å): 4.532 4.532 7.059
angles (deg): 90.00 90.00 90.00
Space group I-42d (No. 122)
Unique sites:
B1 0.000 0.000 0.000 x4
S1 0.000 0.000 0.500 x4
O1 0.074 0.750 0.125 x8

**Energy relative to the elements, uncorrected**: -751 meV per atom
**ΔE to the lowest computed polymorph**: 0 meV/atom
**Raw total energy**: -32.52 eV/f.u.



Number 1: magnetic moment 0.0 μB/f.u., DOS at the Fermi energy 0.221 states/eV/atom. Number 2: magnetic moment 2.8 μB/f.u., DOS at the Fermi energy 0.411 states/eV/atom. Number 3: magnetic moment 0.0 μB/f.u., DOS at the Fermi energy 0.369 states/eV/atom.